Here is a PBEsol-optimized structure of MnPt3Rh from Alexandria. Energies are from meta-GGA SCAN.

Results
Calculated formation energy: 1.15 eV/atom
Fermi-level density of states: 0.74 states/eV/atom

Structure (CIF):
```
data_MnPt3Rh
_chemical_formula_sum 'Mn1 Pt3 Rh1'
_symmetry_space_group_name_H-M 'P m -3 m'
_symmetry_Int_Tables_number 221
_symmetry_space_group_name_Hall '-P 4 2 3'
_cell_length_a 4.721
_cell_length_b 4.721
_cell_length_c 4.721
_cell_angle_alpha 90.00
_cell_angle_beta 90.00
_cell_angle_gamma 90.00
loop_
_atom_site_label
_atom_site_fract_x
_atom_site_fract_y
_atom_site_fract_z
_atom_site_occupancy
Mn1 0.000 0.000 0.000 1
Pt1 0.000 0.500 0.500 1
Rh1 0.500 0.500 0.500 1
```